[1]
A plane-wave DFT calculation with PBE-GGA was carried out for a geometry-optimized H2RhF8 structure.

Cell lengths 5.1403, 5.5044, 5.5044 Å; angles 62.25, 89.06, 89.06 degrees
Fractional coordinates of all 11 atoms:
F 0.8484 0.3482 0.8824
F 0.1516 0.1176 0.6518
F 0.2939 0.1138 0.1138
F 0.8484 0.8824 0.3482
F 0.3591 0.6300 0.6300
F 0.6409 0.3700 0.3700
F 0.7061 0.8862 0.8862
F 0.1516 0.6518 0.1176
H 0.4569 0.3745 0.3745
H 0.5431 0.6255 0.6255
Rh 0.0000 0.0000 0.0000

- Magnetic moment: 2.92 Bohr magnetons per cell
- E_tot: -3.9549 eV/atom
- Symmetry: C2/m (12)

=====

[2]
A plane-wave DFT calculation with PBE-GGA was carried out for a geometry-optimized NaCdCuS2 structure.

Cell lengths 4.7573, 4.7573, 4.8561 Å; angles 90.00, 90.00, 90.00 degrees
Fractional coordinates of all 5 atoms:
Cu 0.0000 0.0000 0.0000
Cd 0.0000 0.0000 0.5000
Na 0.5000 0.5000 0.5000
S 0.0000 0.5000 0.0000
S 0.5000 0.0000 0.0000

- Magnetic moment: 0.00 Bohr magnetons per cell
- N(E_F): 2.756 states/eV/cell
- E_tot: -2.9475 eV/atom
- Symmetry: P4/mmm (123)

=====

[3]
A plane-wave DFT calculation with PBE-GGA was carried out for a geometry-optimized Sc8PSe6 structure.

Cell lengths 3.7641, 9.9961, 9.9961 Å; angles 120.00, 90.00, 90.00 degrees
Fractional coordinates of all 15 atoms:
Se 0.2463 0.1343 0.4609
Se 0.2463 0.5391 0.6734
Se 0.7537 0.6734 0.1343
Se 0.7537 0.8657 0.5391
Se 0.7537 0.4609 0.3266
Se 0.2463 0.3266 0.8657
Sc 0.7395 0.9848 0.2518
Sc 0.7434 0.3333 0.6667
Sc 0.2566 0.6667 0.3333
Sc 0.7395 0.7482 0.7330
Sc 0.7395 0.2670 0.0152
Sc 0.2605 0.7330 0.9848
Sc 0.2605 0.2518 0.2670
Sc 0.2605 0.0152 0.7482
P 0.5000 0.0000 0.0000

- Magnetic moment: 0.00 Bohr magnetons per cell
- N(E_F): 12.182 states/eV/cell
- E_tot: -6.3324 eV/atom
- Symmetry: P-3 (147)